# 1
This record from Alexandria describes PmTm3 after structural relaxation. The functional is PBEsol.

Summary:
As for the spin magnetization: 0.00 μB per cell. The uncorrected energy is -19.76 eV per cell. The density of states at the Fermi level comes out at 5.2 states/eV/cell. For the distance to the lowest polymorph of the same formula, the calculation gives 9.3 meV/atom.

Unit cell a=4.8872 b=4.8872 c=4.8872 alpha=90.00 beta=90.00 gamma=90.00
Space group Pm-3m (No. 221)
One atom of each set of equivalent atoms:
Pm: 0.0000 0.0000 0.0000 (multiplicity 1)
Tm: 0.0000 0.5000 0.5000 (multiplicity 3)

---

# 2
This record from Alexandria describes BaAs2SeN after structural relaxation. The functional is PBEsol.

Summary:
As for the spin magnetization: 7.05 μB per cell. The uncorrected energy is -15.13 eV per cell. The uncorrected formation energy comes out at 9.61 eV per formula unit. The density of states at the Fermi level comes out at 6.9 states/eV/cell.

Unit cell a=6.5622 b=6.5622 c=6.0971 alpha=90.00 beta=90.00 gamma=90.00
Space group P4/mmm (No. 123)
One atom of each set of equivalent atoms:
Ba: 0.0000 0.0000 0.0000 (multiplicity 1)
As: 0.0000 0.5000 0.0000 (multiplicity 2)
Se: 0.0000 0.0000 0.5000 (multiplicity 1)
N: 0.5000 0.5000 0.5000 (multiplicity 1)

---

# 3
This record from Alexandria describes La2Ag after structural relaxation. The functional is PBEsol.

Summary:
As for the spin magnetization: 0.00 μB per cell. The uncorrected energy is -57.72 eV per cell. The density of states at the Fermi level comes out at 15.2 states/eV/cell.

Unit cell a=7.6537 b=7.6537 c=5.8537 alpha=90.00 beta=90.00 gamma=90.00
Space group I4/mcm (No. 140)
One atom of each set of equivalent atoms:
La: 0.1564 0.3436 0.0000 (multiplicity 8)
Ag: 0.0000 0.0000 0.2500 (multiplicity 4)

---

# 4
This record from Alexandria describes TaBe2Cd after structural relaxation. The functional is PBEsol.

Summary:
As for the spin magnetization: 0.00 μB per cell. The uncorrected energy is -41.74 eV per cell. The density of states at the Fermi level comes out at 3.9 states/eV/cell.

Unit cell a=3.7878 b=2.8965 c=9.7852 alpha=90.00 beta=90.00 gamma=90.00
Space group Amm2 (No. 38)
One atom of each set of equivalent atoms:
Ta: 0.0000 0.0000 0.0000 (multiplicity 2)
Be: 0.0000 0.0000 0.2789 (multiplicity 2)
Be: 0.5000 0.0000 0.4072 (multiplicity 2)
Cd: 0.5000 0.0000 0.6849 (multiplicity 2)

---

# 5
This record from Alexandria describes CoPb2Cl after structural relaxation. The functional is PBEsol.

Summary:
As for the spin magnetization: 2.58 μB per cell. The uncorrected energy is -32.74 eV per cell. The uncorrected formation energy comes out at 1.37 eV per formula unit. The density of states at the Fermi level comes out at 8.5 states/eV/cell. For the distance to the lowest polymorph of the same formula, the calculation gives 133.5 meV/atom.

Unit cell a=4.0767 b=5.1845 c=8.6103 alpha=90.00 beta=90.00 gamma=90.00
Space group Immm (No. 71)
One atom of each set of equivalent atoms:
Co: 0.0000 0.0000 0.0000 (multiplicity 2)
Pb: 0.0000 0.5000 0.2973 (multiplicity 4)
Cl: 0.0000 0.0000 0.5000 (multiplicity 2)

---

# 6
This record from Alexandria describes Al4Zn after structural relaxation. The functional is PBEsol.

Summary:
As for the spin magnetization: 0.00 μB per cell. The uncorrected energy is -35.69 eV per cell. The density of states at the Fermi level comes out at 3.4 states/eV/cell.

Unit cell a=6.3195 b=6.3195 c=3.9746 alpha=90.00 beta=90.00 gamma=90.00
Space group I4/m (No. 87)
One atom of each set of equivalent atoms:
Al: 0.1010 0.7014 0.0000 (multiplicity 8)
Zn: 0.0000 0.0000 0.5000 (multiplicity 2)

---

# 7
This record from Alexandria describes CaMg3Cu after structural relaxation. The functional is PBEsol.

Summary:
As for the spin magnetization: 0.00 μB per cell. The uncorrected energy is -23.33 eV per cell. The density of states at the Fermi level comes out at 5.6 states/eV/cell. For the distance to the lowest polymorph of the same formula, the calculation gives 6.9 meV/atom.

Unit cell a=4.2293 b=4.2293 c=13.0470 alpha=90.00 beta=90.00 gamma=90.00
Space group I4mm (No. 107)
One atom of each set of equivalent atoms:
Ca: 0.0000 0.0000 0.0000 (multiplicity 2)
Mg: 0.0000 0.0000 0.3814 (multiplicity 2)
Mg: 0.0000 0.5000 0.2103 (multiplicity 4)
Cu: 0.0000 0.0000 0.5808 (multiplicity 2)

---

# 8
This record from Alexandria describes ErTc2 after structural relaxation. The functional is PBEsol.

Summary:
As for the spin magnetization: 0.00 μB per cell. The uncorrected energy is -112.20 eV per cell. The density of states at the Fermi level comes out at 12.2 states/eV/cell.

Unit cell a=5.2750 b=5.2750 c=8.7122 alpha=90.00 beta=90.00 gamma=120.00
Space group P6_3/mmc (No. 194)
One atom of each set of equivalent atoms:
Er: 0.3333 0.6667 0.0629 (multiplicity 4)
Tc: 0.0000 0.0000 0.0000 (multiplicity 2)
Tc: 0.1712 0.3425 0.7500 (multiplicity 6)

---

# 9
This record from Alexandria describes SrBeCu2 after structural relaxation. The functional is PBEsol.

Summary:
As for the spin magnetization: 0.00 μB per cell. The uncorrected energy is -13.40 eV per cell. The density of states at the Fermi level comes out at 1.9 states/eV/cell.

Unit cell a=3.0093 b=3.0093 c=6.9311 alpha=90.00 beta=90.00 gamma=90.00
Space group P4/mmm (No. 123)
One atom of each set of equivalent atoms:
Sr: 0.0000 0.0000 0.0000 (multiplicity 1)
Be: 0.0000 0.0000 0.5000 (multiplicity 1)
Cu: 0.5000 0.5000 0.3306 (multiplicity 2)

---

# 10
This record from Alexandria describes Al4C3 after structural relaxation. The functional is PBEsol.

Summary:
As for the spin magnetization: 0.00 μB per cell. The uncorrected energy is -138.03 eV per cell.

Unit cell a=3.3389 b=3.3389 c=24.9828 alpha=90.00 beta=90.00 gamma=120.00
Space group R-3m (No. 166, hexagonal axes)
One atom of each set of equivalent atoms:
Al: 0.0000 0.0000 0.1299 (multiplicity 6)
Al: 0.0000 0.0000 0.2935 (multiplicity 6)
C: 0.0000 0.0000 0.0000 (multiplicity 3)
C: 0.0000 0.0000 0.2167 (multiplicity 6)

---

# 11
This record from Alexandria describes LiAl2Cd after structural relaxation. The functional is PBEsol.

Summary:
As for the spin magnetization: 0.00 μB per cell. The uncorrected energy is -11.55 eV per cell. The density of states at the Fermi level comes out at 1.5 states/eV/cell.

Unit cell a=2.8721 b=2.8721 c=8.5209 alpha=90.00 beta=90.00 gamma=90.00
Space group P4mm (No. 99)
One atom of each set of equivalent atoms:
Li: 0.0000 0.0000 0.0000 (multiplicity 1)
Al: 0.0000 0.0000 0.5216 (multiplicity 1)
Al: 0.5000 0.5000 0.7564 (multiplicity 1)
Cd: 0.5000 0.5000 0.2505 (multiplicity 1)

---

# 12
This record from Alexandria describes HgAsSe2O after structural relaxation. The functional is PBEsol.

Summary:
As for the spin magnetization: 0.00 μB per cell. The uncorrected energy is -16.64 eV per cell. The uncorrected formation energy comes out at 1.98 eV per formula unit. The density of states at the Fermi level comes out at 4.0 states/eV/cell.

Unit cell a=4.5245 b=4.5245 c=4.4413 alpha=90.00 beta=90.00 gamma=90.00
Space group P4/mmm (No. 123)
One atom of each set of equivalent atoms:
Hg: 0.0000 0.0000 0.0000 (multiplicity 1)
As: 0.5000 0.5000 0.0000 (multiplicity 1)
Se: 0.0000 0.5000 0.5000 (multiplicity 2)
O: 0.5000 0.5000 0.5000 (multiplicity 1)

---

Among the records above, which one has the highest spin magnetization? BaAs2SeN

---

uncorrected energy of number 9 (SrBeCu2)? -13.40 eV per cell

---

uncorrected energy of number 7 (CaMg3Cu)? -23.33 eV per cell

---

Which of these has the highest spin magnetization? BaAs2SeN